Record 1
Density functional theory data (PBE-GGA) for AlFe3H after structural relaxation.

V ... 150.1 Å³/cell
E above lowest polymorph ... 998 meV/atom

a b c (Å): 9.293 9.293 9.293
angles (deg): 154.35 154.35 36.59
Fractional coordinates of all 10 atoms:
Al 0.000 0.000 0.000
Al 0.750 0.250 0.500
Fe 0.354 0.354 0.000
Fe 0.367 0.126 0.241
Fe 0.646 0.646 0.000
Fe 0.874 0.115 0.241
Fe 0.874 0.633 0.759
Fe 0.885 0.126 0.759
H 0.134 0.634 0.500
H 0.366 0.866 0.500

Record 2
Density functional theory data (PBE-GGA) for Li6Ti2O7 after structural relaxation.

V ... 139.6 Å³/cell
E above lowest polymorph ... 6 meV/atom
Formation energy (no corrections) ... -37.08 eV per formula unit

a b c (Å): 5.770 5.770 5.134
angles (deg): 107.92 107.92 61.00
Fractional coordinates of all 15 atoms:
Li 0.130 0.130 0.186
Li 0.143 0.589 0.229
Li 0.411 0.857 0.771
Li 0.589 0.143 0.229
Li 0.857 0.411 0.771
Li 0.870 0.870 0.814
Ti 0.365 0.365 0.739
Ti 0.635 0.635 0.261
O 0.000 0.500 0.500
O 0.245 0.245 0.947
O 0.272 0.728 0.000
O 0.500 0.000 0.500
O 0.500 0.500 0.500
O 0.728 0.272 0.000
O 0.755 0.755 0.053

Calculated density values, unit g/cm³, following the record order: 4.3, 3.0.
DFT total energy values, unit eV/cell, following the record order: -56.7, -99.1.
Density of states at the Fermi level values, unit states/eV/cell, following the record order: 8.30, 0.00.